[1]
Below is a geometry-optimized TbPm6SmHo2 structure, with properties calculated at the PBE level.

Cell and atoms, written as POSCAR:
```
TbPm6SmHo2
1.0
4.6189 -7.6272 0.0000
4.6189 7.6272 0.0000
-1.2880 0.0000 9.5838
Tb Pm Sm Ho
2 12 2 4
direct
0.0286 0.9714 0.7500
0.9714 0.0286 0.2500
0.0150 0.5651 0.6845
0.1142 0.7589 0.0549
0.2411 0.8858 0.4451
0.2936 0.5103 0.8807
0.4349 0.9850 0.8155
0.4897 0.7064 0.6193
0.5103 0.2936 0.3807
0.5651 0.0150 0.1845
0.7064 0.4897 0.1193
0.7589 0.1142 0.5549
0.8858 0.2411 0.9451
0.9850 0.4349 0.3155
0.4083 0.5917 0.2500
0.5917 0.4083 0.7500
0.1977 0.2957 0.5461
0.2957 0.1977 0.0461
0.7043 0.8023 0.9539
0.8023 0.7043 0.4539
```

Results
Its calculated total energy is -4.5836 eV/atom. For the formation energy, the calculation gives 117 meV/atom.

=====

[2]
Below is a geometry-optimized Dy12TmIn6 structure, with properties calculated at the PBE level.

Cell and atoms, written as POSCAR:
```
Dy12TmIn6
1.0
5.7099 3.2966 4.8196
-5.7099 3.2966 4.8196
0.0000 -6.5933 4.8196
Dy Tm In
12 1 6
direct
0.0279 0.9382 0.3040
0.0618 0.6960 0.9721
0.1243 0.4588 0.3493
0.3040 0.0279 0.9382
0.3493 0.1243 0.4588
0.4588 0.3493 0.1243
0.5412 0.6507 0.8757
0.6507 0.8757 0.5412
0.6960 0.9721 0.0618
0.8757 0.5412 0.6507
0.9382 0.3040 0.0279
0.9721 0.0618 0.6960
0.5000 0.5000 0.5000
0.2234 0.3794 0.7608
0.2392 0.7766 0.6206
0.3794 0.7608 0.2234
0.6206 0.2392 0.7766
0.7608 0.2234 0.3794
0.7766 0.6206 0.2392
```

Results
Its calculated total energy is -4.2126 eV/atom. For the formation energy, the calculation gives -206 meV/atom.

=====

[3]
Below is a geometry-optimized Er4Mg3In structure, with properties calculated at the PBE level.

Cell and atoms, written as POSCAR:
```
Er4Mg3In
1.0
2.6500 1.5300 8.6736
-2.6500 1.5300 8.6736
0.0000 -3.0600 8.6736
Er Mg In
4 3 1
direct
0.1251 0.1251 0.1251
0.3754 0.3754 0.3754
0.6246 0.6246 0.6246
0.8749 0.8749 0.8749
0.0000 0.0000 0.0000
0.2527 0.2527 0.2527
0.7473 0.7473 0.7473
0.5000 0.5000 0.5000
```

Results
Its calculated total energy is -3.4091 eV/atom. Its energy above the lowest structure with this stoichiometry is 0.0 meV/atom. For the formation energy, the calculation gives -187 meV/atom.

=====

[4]
Below is a geometry-optimized Nd3HoTm2S6 structure, with properties calculated at the PBE level.

Cell and atoms, written as POSCAR:
```
Nd3HoTm2S6
1.0
3.3907 -5.8907 0.0000
3.3907 5.8907 0.0000
-2.2697 0.0000 6.6164
Nd Ho Tm S
3 1 2 6
direct
0.0000 0.0000 0.0000
0.3345 0.6655 0.0000
0.6655 0.3345 0.0000
0.5000 0.5000 0.5000
0.1666 0.8334 0.5000
0.8334 0.1666 0.5000
0.0877 0.4236 0.2705
0.2402 0.2402 0.7286
0.4236 0.0877 0.2705
0.5764 0.9123 0.7295
0.7598 0.7598 0.2714
0.9123 0.5764 0.7295
```

Results
Its calculated total energy is -6.3796 eV/atom. The calculation puts the formation energy from raw total energies at -1.9972 eV/atom.

=====

[5]
Below is a geometry-optimized NdSi2Sb2Pt7 structure, with properties calculated at the PBE level.

Cell and atoms, written as POSCAR:
```
NdSi2Sb2Pt7
1.0
2.8153 -2.8152 0.0000
2.8153 2.8152 0.0000
-2.8013 0.0000 15.1942
Nd Si Sb Pt
1 2 2 7
direct
0.0000 0.0000 0.0000
0.3806 0.3806 0.7585
0.6194 0.6194 0.2415
0.2108 0.2108 0.4228
0.7892 0.7892 0.5772
0.0753 0.5754 0.1527
0.3019 0.3019 0.6036
0.4246 0.9247 0.8473
0.5000 0.5000 0.0000
0.5754 0.0753 0.1527
0.6981 0.6981 0.3964
0.9247 0.4246 0.8473
```

Results
Its calculated total energy is -6.1418 eV/atom. The calculation puts the formation energy from raw total energies at -0.6298 eV/atom.

=====

[6]
Below is a geometry-optimized KMo3S3 structure, with properties calculated at the PBE level.

Cell and atoms, written as POSCAR:
```
KMo3S3
1.0
5.8439 0.0000 0.0000
-1.9059 6.5303 0.0000
-2.8079 -1.8907 8.1278
K Mo S
2 6 6
direct
0.1776 0.3051 0.0001
0.8224 0.6949 0.9999
0.1684 0.4863 0.4270
0.1704 0.1812 0.5753
0.4991 0.8497 0.5750
0.5009 0.1503 0.4250
0.8296 0.8188 0.4247
0.8316 0.5137 0.5730
0.0536 0.1058 0.2856
0.2757 0.5606 0.7174
0.3833 0.7682 0.2826
0.6167 0.2318 0.7174
0.7243 0.4394 0.2826
0.9464 0.8942 0.7144
```

Results
Its calculated total energy is -7.0270 eV/atom. Its energy above the lowest structure with this stoichiometry is 345.9 meV/atom. The calculation puts the formation energy from raw total energies at -0.4594 eV/atom.

=====

[7]
Below is a geometry-optimized La2VCrS6 structure, with properties calculated at the PBE level.

Cell and atoms, written as POSCAR:
```
La2VCrS6
1.0
6.3403 0.0000 0.0000
0.0000 7.0095 0.0000
-6.3094 0.0000 9.2376
La V Cr S
4 2 2 12
direct
0.2105 0.0958 0.2489
0.2105 0.4042 0.7489
0.7895 0.5958 0.2511
0.7895 0.9042 0.7511
0.5000 0.0000 0.0000
0.5000 0.5000 0.5000
0.0000 0.0000 0.5000
0.0000 0.5000 0.0000
0.1346 0.1933 0.9525
0.1346 0.3067 0.4525
0.2723 0.6904 0.9543
0.2723 0.8096 0.4543
0.3491 0.0155 0.7501
0.3491 0.4845 0.2501
0.6509 0.5155 0.7499
0.6509 0.9845 0.2499
0.7277 0.1904 0.5457
0.7277 0.3096 0.0457
0.8654 0.6933 0.5475
0.8654 0.8067 0.0475
```

Results
Its calculated total energy is -6.8215 eV/atom. The calculation puts the formation energy from raw total energies at -1.4854 eV/atom.

=====

[8]
Below is a geometry-optimized LaNd2DyBi5 structure, with properties calculated at the PBE level.

Cell and atoms, written as POSCAR:
```
LaNd2DyBi5
1.0
5.4253 0.0000 0.0000
0.0000 5.4253 0.0000
0.0000 0.0000 12.2072
La Nd Dy Bi
1 2 1 5
direct
0.0000 0.0000 0.0000
0.5000 0.5000 0.2710
0.5000 0.5000 0.7290
0.0000 0.0000 0.5000
0.0000 0.0000 0.2511
0.0000 0.0000 0.7489
0.0000 0.5000 0.5000
0.5000 0.0000 0.5000
0.5000 0.5000 0.0000
```

Results
Its calculated total energy is -4.4651 eV/atom. For the formation energy, the calculation gives -191 meV/atom.